Entry 1:
A relaxed structure of PmEr4Al5, computed with PBE.

Unit cell a=3.5862 b=3.5862 c=18.0256 alpha=90.00 beta=90.00 gamma=90.00
Last column: nearest neighbours and their distance in Å.
Element x y z (fractional)
1 Er 0.0000 0.0000 0.7941  8 Al 3.08-3.09
2 Pm 0.0000 0.0000 0.0000  8 Al 3.21, 4 Pm 3.59
3 Al 0.5000 0.5000 0.6961  8 Er 3.09
4 Er 0.0000 0.0000 0.2059  8 Al 3.08-3.09
5 Er 0.0000 0.0000 0.4020  8 Al 3.09
6 Er 0.0000 0.0000 0.5980  8 Al 3.09
7 Al 0.5000 0.5000 0.1088  4 Er 3.08, 4 Pm 3.21
8 Al 0.5000 0.5000 0.3039  8 Er 3.09
9 Al 0.5000 0.5000 0.8912  4 Er 3.08, 4 Pm 3.21
10 Al 0.5000 0.5000 0.5000  8 Er 3.09

Uncorrected energy: -45.595 eV per cell
SG: P4/mmm (123)
ΔH_f (0 K): -0.3880 eV/atom
Spin magnetization: 0.00 μB/atom

=====

Entry 2:
A relaxed structure of HfHSBr, computed with PBE.

Unit cell a=3.5339 b=3.5339 c=7.3241 alpha=90.06 beta=103.89 gamma=120.00
Last column: nearest neighbours and their distance in Å.
Element x y z (fractional)
1 H 0.5073 0.6183 0.1256  3 Hf 2.05
2 Br 0.3451 0.0377 0.3828  3 H 2.73, 3 Hf 2.83
3 S 0.0134 0.8707 0.8841  3 Hf 2.56, 3 H 2.66
4 Hf 0.8264 0.2777 0.1041  3 H 2.05

Uncorrected energy: -23.861 eV per cell
SG: Cm (8)
Spin magnetization: 0.00 μB/atom

=====

Entry 3:
A relaxed structure of BaLi2HgPt, computed with PBE.

Unit cell a=4.9541 b=4.9541 c=5.3766 alpha=90.00 beta=90.00 gamma=90.00
Last column: nearest neighbours and their distance in Å.
Element x y z (fractional)
1 Pt 0.0000 0.0000 0.0000  4 Li 2.48, 2 Hg 2.69
2 Li 0.5000 0.0000 0.0000  2 Pt 2.48
3 Li 0.0000 0.5000 0.0000  2 Pt 2.48
4 Ba 0.5000 0.5000 0.5000  4 Hg 3.50, 8 Li 3.66
5 Hg 0.0000 0.0000 0.5000  2 Pt 2.69

Uncorrected energy: -13.774 eV per cell
SG: P4/mmm (123)
ΔH_f (0 K): -0.3363 eV/atom
Spin magnetization: 0.00 μB/atom